Pm4Ga2Rh after structural relaxation. Source: the Alexandria database, functional PBE.

It has space group C2/m (No. 12), with a = 16.587 Å, b = 4.159 Å, c = 5.855 Å, α = 90.00°, β = 109.46° and γ = 90.00°. The inequivalent atoms are Pm at (0.096, 0.000, 0.478), Pm at (0.129, 0.500, 0.016), Ga at (0.236, 0.500, 0.632) and Rh at (0.000, 0.000, 0.000).

Its volume is 380.9 Å³/cell. The value obtained for the spin magnetization is 0.00 μB/f.u. As for the theoretical density: 7.171 g/cm3. For the excess energy over the best structure of this formula in the dataset, the calculation gives 0.087 eV/atom.

TbDy4Y2Ho2 after structural relaxation. Source: the Alexandria database, functional PBE.

It has space group C2/m (No. 12), with a = 18.592 Å, b = 3.578 Å, c = 9.509 Å, α = 90.00°, β = 115.75° and γ = 90.00°. The inequivalent atoms are Tb at (0.000, 0.000, 0.000), Dy at (0.018, 0.500, 0.333), Dy at (0.185, 0.000, 0.334), Y at (0.148, 0.000, 0.666) and Ho at (0.167, 0.500, 0.001).

Its volume is 569.7 Å³/cell. The value obtained for the spin magnetization is 0.00 μB/f.u. As for the theoretical density: 7.675 g/cm3. As for the total DFT energy (no corrections): -90.23 eV/cell.

BeRe5 after structural relaxation. Source: the Alexandria database, functional PBE.

It has space group P-62m (No. 189), with a = 4.7313 Å, b = 4.7313 Å, c = 4.4049 Å, α = 90.00°, β = 90.00° and γ = 120.00°. The inequivalent atoms are Be at (0.0000, 0.0000, 0.0000), Re at (0.0000, 0.6795, 0.5000) and Re at (0.3333, 0.6667, 0.0000).

Its volume is 85.4 Å³/cell. The value obtained for the spin magnetization is 0.00 μB/f.u. As for the theoretical density: 18.280 g/cm3. For the excess energy over the best structure of this formula in the dataset, the calculation gives 0.007 eV/atom.

Li4Eu2Ag after structural relaxation. Source: the Alexandria database, functional PBE.

It has space group I4/mmm (No. 139), with a = 4.954 Å, b = 4.954 Å, c = 16.664 Å, α = 90.00°, β = 90.00° and γ = 90.00°. The inequivalent atoms are Li at (0.000, 0.000, 0.154), Li at (0.000, 0.500, 0.000), Eu at (0.000, 0.000, 0.354) and Ag at (0.000, 0.000, 0.000).

Its volume is 409.0 Å³/cell. The value obtained for the spin magnetization is 15.76 μB/f.u. As for the theoretical density: 3.569 g/cm3. As for the total DFT energy (no corrections): -60.60 eV/cell.

TmTh2Ta after structural relaxation. Source: the Alexandria database, functional PBE.

It has space group R-3m (No. 166, hexagonal axes), with a = 3.3017 Å, b = 3.3017 Å, c = 35.9552 Å, α = 90.00°, β = 90.00° and γ = 120.00°. The inequivalent atoms are Tm at (0.0000, 0.0000, 0.0000), Th at (0.0000, 0.0000, 0.4184) and Ta at (0.0000, 0.0000, 0.5000).

Its volume is 339.5 Å³/cell. The value obtained for the spin magnetization is 0.00 μB/f.u. As for the theoretical density: 11.945 g/cm3. As for the total DFT energy (no corrections): -86.18 eV/cell.

TiInBr after structural relaxation. Source: the Alexandria database, functional PBE.

It has space group P-1 (No. 2), with a = 3.291 Å, b = 6.038 Å, c = 8.194 Å, α = 79.59°, β = 89.99° and γ = 89.57°. The inequivalent atoms are Ti at (0.250, 0.134, 0.367), In at (0.247, 0.662, 0.381) and Br at (0.251, 0.777, 0.874).

Its volume is 160.1 Å³/cell. The value obtained for the spin magnetization is 0.13 μB/f.u. The value obtained for the uncorrected formation energy is -358.7 meV per atom. As for the theoretical density: 5.031 g/cm3.

Na3Cd8In4 after structural relaxation. Source: the Alexandria database, functional PBE.

It has space group Fm-3m (No. 225), with a = 14.452 Å, b = 14.452 Å, c = 14.452 Å, α = 90.00°, β = 90.00° and γ = 90.00°. The inequivalent atoms are Na at (0.000, 0.000, 0.246), Cd at (0.132, 0.132, 0.368), Cd at (0.137, 0.137, 0.137), In at (0.000, 0.000, 0.000), In at (0.000, 0.000, 0.500) and In at (0.000, 0.250, 0.250).

Its volume is 3018.5 Å³/cell. The value obtained for the spin magnetization is 0.00 μB/f.u. As for the theoretical density: 6.283 g/cm3. As for the total DFT energy (no corrections): -184.64 eV/cell.

LaTm2Pd3 after structural relaxation. Source: the Alexandria database, functional PBE.

It has space group P4/mmm (No. 123), with a = 3.476 Å, b = 3.476 Å, c = 10.906 Å, α = 90.00°, β = 90.00° and γ = 90.00°. The inequivalent atoms are La at (0.000, 0.000, 0.000), Tm at (0.000, 0.000, 0.340), Pd at (0.500, 0.500, 0.194) and Pd at (0.500, 0.500, 0.500).

Its volume is 131.7 Å³/cell. The value obtained for the spin magnetization is 0.00 μB/f.u. As for the theoretical density: 10.033 g/cm3. As for the total DFT energy (no corrections): -34.73 eV/cell.

ErThCuTc after structural relaxation. Source: the Alexandria database, functional PBE.

It has space group P4mm (No. 99), with a = 3.495 Å, b = 3.495 Å, c = 7.098 Å, α = 90.00°, β = 90.00° and γ = 90.00°. The inequivalent atoms are Er at (0.000, 0.000, 0.000), Th at (0.000, 0.000, 0.521), Cu at (0.500, 0.500, 0.234) and Tc at (0.500, 0.500, 0.755).

Its volume is 86.7 Å³/cell. The value obtained for the spin magnetization is 0.00 μB/f.u. As for the theoretical density: 10.743 g/cm3. For the excess energy over the best structure of this formula in the dataset, the calculation gives 0.000 eV/atom.

Y8ErS4 after structural relaxation. Source: the Alexandria database, functional PBE.

It has space group C2/m (No. 12), with a = 18.720 Å, b = 3.799 Å, c = 12.858 Å, α = 90.00°, β = 130.35° and γ = 90.00°. The inequivalent atoms are Y at (0.038, 0.000, 0.242), Y at (0.130, 0.500, 0.093), Y at (0.160, 0.500, 0.820), Y at (0.193, 0.500, 0.569), Er at (0.000, 0.000, 0.500), S at (0.150, 0.000, 0.963) and S at (0.172, 0.500, 0.337).

Its volume is 697.0 Å³/cell. The value obtained for the spin magnetization is 0.03 μB/f.u. The value obtained for the uncorrected formation energy is -1174.8 meV per atom. As for the theoretical density: 4.797 g/cm3.

Pm2Al3Ir after structural relaxation. Source: the Alexandria database, functional PBE.

It has space group R-3m (No. 166, hexagonal axes), with a = 5.5740 Å, b = 5.5740 Å, c = 13.3872 Å, α = 90.00°, β = 90.00° and γ = 120.00°. The inequivalent atoms are Pm at (0.0000, 0.0000, 0.1263), Al at (0.0000, 0.5000, 0.0000) and Ir at (0.0000, 0.0000, 0.5000).

Its volume is 360.1 Å³/cell. The value obtained for the spin magnetization is 0.00 μB/f.u. As for the theoretical density: 7.790 g/cm3. For the excess energy over the best structure of this formula in the dataset, the calculation gives 0.038 eV/atom.

SmErLu2 after structural relaxation. Source: the Alexandria database, functional PBE.

It has space group P4/mmm (No. 123), with a = 4.016 Å, b = 4.016 Å, c = 7.707 Å, α = 90.00°, β = 90.00° and γ = 90.00°. The inequivalent atoms are Sm at (0.000, 0.000, 0.000), Er at (0.000, 0.000, 0.500) and Lu at (0.500, 0.500, 0.258).

Its volume is 124.3 Å³/cell. The value obtained for the spin magnetization is 0.00 μB/f.u. As for the theoretical density: 8.919 g/cm3. For the excess energy over the best structure of this formula in the dataset, the calculation gives 0.074 eV/atom.

LiZrIr after structural relaxation. Source: the Alexandria database, functional PBE.

It has space group P2/m (No. 10), with a = 3.034 Å, b = 4.421 Å, c = 4.545 Å, α = 90.00°, β = 90.25° and γ = 90.00°. The inequivalent atoms are Li at (0.000, 0.000, 0.000), Zr at (0.000, 0.500, 0.500) and Ir at (0.500, 0.000, 0.500).

Its volume is 61.0 Å³/cell. The value obtained for the spin magnetization is 0.00 μB/f.u. As for the theoretical density: 7.909 g/cm3. For the excess energy over the best structure of this formula in the dataset, the calculation gives 0.297 eV/atom.

SmPuBrO4 after structural relaxation. Source: the Alexandria database, functional PBE.

It has space group C2/m (No. 12), with a = 12.602 Å, b = 7.105 Å, c = 6.653 Å, α = 90.00°, β = 110.24° and γ = 90.00°. The inequivalent atoms are Sm at (0.224, 0.000, 0.088), Pu at (0.123, 0.500, 0.228), Br at (0.026, 0.000, 0.263), O at (0.075, 0.500, 0.911), O at (0.165, 0.500, 0.525) and O at (0.237, 0.310, 0.190).

Its volume is 558.9 Å³/cell. The value obtained for the spin magnetization is 2.06 μB/f.u. The value obtained for the uncorrected formation energy is -2453.7 meV per atom. As for the theoretical density: 6.397 g/cm3.

CuAgW2N after structural relaxation. Source: the Alexandria database, functional PBE.

It has space group P4/mmm (No. 123), with a = 4.058 Å, b = 4.058 Å, c = 4.239 Å, α = 90.00°, β = 90.00° and γ = 90.00°. The inequivalent atoms are Cu at (0.000, 0.000, 0.000), Ag at (0.500, 0.500, 0.000), W at (0.000, 0.500, 0.500) and N at (0.000, 0.000, 0.500).

Its volume is 69.8 Å³/cell. The value obtained for the spin magnetization is 0.00 μB/f.u. The value obtained for the uncorrected formation energy is 367.1 meV per atom. As for the theoretical density: 13.155 g/cm3.

CuTc2Os after structural relaxation. Source: the Alexandria database, functional PBE.

It has space group Fm-3m (No. 225), with a = 6.097 Å, b = 6.097 Å, c = 6.097 Å, α = 90.00°, β = 90.00° and γ = 90.00°. The inequivalent atoms are Cu at (0.000, 0.000, 0.000), Tc at (0.250, 0.250, 0.250) and Os at (0.000, 0.000, 0.500).

Its volume is 226.6 Å³/cell. The value obtained for the spin magnetization is 0.00 μB/f.u. As for the theoretical density: 13.183 g/cm3. For the excess energy over the best structure of this formula in the dataset, the calculation gives 0.245 eV/atom.

NaSnPd14 after structural relaxation. Source: the Alexandria database, functional PBE.

It has space group P4/mmm (No. 123), with a = 5.650 Å, b = 5.650 Å, c = 7.930 Å, α = 90.00°, β = 90.00° and γ = 90.00°. The inequivalent atoms are Na at (0.000, 0.000, 0.000), Sn at (0.500, 0.500, 0.000), Pd at (0.000, 0.000, 0.500), Pd at (0.000, 0.500, 0.000), Pd at (0.000, 0.500, 0.500), Pd at (0.251, 0.251, 0.253) and Pd at (0.500, 0.500, 0.500).

Its volume is 253.2 Å³/cell. The value obtained for the spin magnetization is 0.00 μB/f.u. As for the theoretical density: 10.702 g/cm3. As for the total DFT energy (no corrections): -80.01 eV/cell.

AcCeBiI after structural relaxation. Source: the Alexandria database, functional PBE.

It has space group F-43m (No. 216), with a = 8.106 Å, b = 8.106 Å, c = 8.106 Å, α = 90.00°, β = 90.00° and γ = 90.00°. The inequivalent atoms are Ac at (0.000, 0.000, 0.000), Ce at (0.000, 0.000, 0.500), Bi at (0.250, 0.250, 0.250) and I at (0.250, 0.250, 0.750).

Its volume is 532.6 Å³/cell. The value obtained for the spin magnetization is 2.08 μB/f.u. The value obtained for the uncorrected formation energy is -816.0 meV per atom. As for the theoretical density: 8.767 g/cm3.

ZrOsW after structural relaxation. Source: the Alexandria database, functional PBE.

It has space group C2/m (No. 12), with a = 9.919 Å, b = 4.232 Å, c = 6.875 Å, α = 90.00°, β = 129.08° and γ = 90.00°. The inequivalent atoms are Zr at (0.066, 0.000, 0.311), Os at (0.161, 0.500, 0.699) and W at (0.165, 0.500, 0.072).

Its volume is 224.0 Å³/cell. The value obtained for the spin magnetization is 0.00 μB/f.u. As for the theoretical density: 13.798 g/cm3. For the excess energy over the best structure of this formula in the dataset, the calculation gives 0.000 eV/atom.

Ta3PbS6 after structural relaxation. Source: the Alexandria database, functional PBE.

It has space group P2_1/m (No. 11), with a = 11.294 Å, b = 3.355 Å, c = 14.882 Å, α = 90.00°, β = 90.28° and γ = 90.00°. The inequivalent atoms are Ta at (0.012, 0.250, 0.081), Ta at (0.301, 0.750, 0.262), Ta at (0.436, 0.250, 0.426), Pb at (0.431, 0.750, 0.917), S at (0.084, 0.750, 0.189), S at (0.142, 0.250, 0.951), S at (0.222, 0.250, 0.365), S at (0.342, 0.250, 0.145), S at (0.355, 0.750, 0.531) and S at (0.498, 0.250, 0.691).

Its volume is 563.8 Å³/cell. The value obtained for the spin magnetization is 0.00 μB/f.u. The value obtained for the uncorrected formation energy is -852.4 meV per atom. As for the theoretical density: 5.551 g/cm3. For the excess energy over the best structure of this formula in the dataset, the calculation gives 0.198 eV/atom.